1.
The following is a DFT calculation (PBE) of a geometry-optimized SmYSn6 structure.

Unit cell a=4.7138 b=4.7138 c=9.5728 alpha=90.00 beta=90.00 gamma=90.00
Closest atoms and distances in Å follow each position.
Fractional positions:
Sn 0.0000 0.5000 0.7475  8 Sn 3.33-3.38, 2 Y 3.34, 2 Sm 3.38
Sn 0.5000 0.5000 0.5000  4 Y 3.33, 8 Sn 3.34
Sn 0.5000 0.5000 0.0000  4 Sm 3.33, 8 Sn 3.38
Sn 0.5000 0.0000 0.2525  8 Sn 3.33-3.38, 2 Y 3.34, 2 Sm 3.38
Sn 0.5000 0.0000 0.7475  8 Sn 3.33-3.38, 2 Y 3.34, 2 Sm 3.38
Sn 0.0000 0.5000 0.2525  8 Sn 3.33-3.38, 2 Y 3.34, 2 Sm 3.38
Sm 0.0000 0.0000 0.0000  12 Sn 3.33-3.38
Y 0.0000 0.0000 0.5000  12 Sn 3.33-3.34

Energy relative to the elements   -0.4522 eV per atom
Crystal system   tetragonal
DOS at the Fermi energy   5.5 states/eV/cell


2.
The following is a DFT calculation (PBE) of a geometry-optimized Sm2Y2Sn3 structure.

Unit cell a=5.0357 b=5.9145 c=8.6451 alpha=99.47 beta=90.03 gamma=115.19
Closest atoms and distances in Å follow each position.
Fractional positions:
Sn 0.7990 0.5975 0.2796  4 Sm 3.14-3.46, 3 Y 3.18-3.24
Sn 0.2010 0.4025 0.7204  4 Sm 3.14-3.46, 3 Y 3.18-3.24
Sn 0.0000 0.0000 0.0000  4 Y 3.09, 2 Sm 3.10
Sm 0.1280 0.2552 0.3518  5 Sn 3.10-3.46
Sm 0.8720 0.7448 0.6482  5 Sn 3.10-3.46
Y 0.6434 0.2869 0.9213  5 Sn 3.09-3.24
Y 0.3566 0.7131 0.0787  5 Sn 3.09-3.24

Energy relative to the elements   -0.5403 eV per atom
Crystal system   monoclinic
DOS at the Fermi energy   5.5 states/eV/cell


3.
The following is a DFT calculation (PBE) of a geometry-optimized SmY2Sn structure.

Unit cell a=4.8135 b=4.8722 c=4.8722 alpha=90.00 beta=90.00 gamma=90.00
Closest atoms and distances in Å follow each position.
Fractional positions:
Sn 0.5000 0.0000 0.0000  8 Y 3.42, 4 Sm 3.45
Y 0.0000 0.0000 0.5000  4 Sn 3.42, 4 Sm 3.42, 4 Y 3.45
Y 0.0000 0.5000 0.0000  4 Sn 3.42, 4 Sm 3.42, 4 Y 3.45
Sm 0.5000 0.5000 0.5000  8 Y 3.42, 4 Sn 3.45

Energy relative to the elements   -0.4248 eV per atom
Energy above the lowest structure with this stoichiometry   0.0 meV/atom
Crystal system   tetragonal
DOS at the Fermi energy   5.3 states/eV/cell


4.
The following is a DFT calculation (PBE) of a geometry-optimized Sm5YSn5 structure.

Unit cell a=6.2766 b=8.5077 c=7.4210 alpha=102.87 beta=90.00 gamma=111.65
Closest atoms and distances in Å follow each position.
Fractional positions:
Sn 0.1656 0.3312 0.3359  5 Sm 3.14-3.21, 1 Y 3.15
Sn 0.5000 0.0000 0.0000  2 Y 3.14, 4 Sm 3.14-3.15
Sn 0.8340 0.6680 0.1610  1 Y 3.13, 5 Sm 3.14-3.19
Sn 0.8344 0.6688 0.6641  5 Sm 3.14-3.21, 1 Y 3.15
Sn 0.1660 0.3320 0.8390  1 Y 3.13, 5 Sm 3.14-3.19
Sm 0.6675 0.3349 0.3281  5 Sn 3.14-3.17
Sm 0.0000 0.0000 0.5000  4 Sn 3.14-3.17
Sm 0.3325 0.6651 0.6719  5 Sn 3.14-3.17
Sm 0.3361 0.6722 0.1717  5 Sn 3.14-3.21
Sm 0.6639 0.3278 0.8283  5 Sn 3.14-3.21
Y 0.0000 0.0000 0.0000  6 Sn 3.13-3.15

Energy relative to the elements   -0.4802 eV per atom
Crystal system   monoclinic
DOS at the Fermi energy   9.0 states/eV/cell


5.
The following is a DFT calculation (PBE) of a geometry-optimized Sm2YSn3 structure.

Unit cell a=5.2047 b=6.2982 c=6.8732 alpha=117.27 beta=112.25 gamma=90.00
Closest atoms and distances in Å follow each position.
Fractional positions:
Sm 0.3307 0.8307 0.6614  6 Sn 3.15-3.22
Sm 0.6693 0.1693 0.3386  6 Sn 3.15-3.22
Sn 0.3406 0.3406 0.6811  2 Y 3.14, 4 Sm 3.15-3.22
Sn 0.6594 0.6594 0.3189  2 Y 3.14, 4 Sm 3.15-3.22
Sn 0.0000 0.0000 0.0000  2 Y 3.15, 4 Sm 3.21
Y 0.0000 0.5000 0.0000  6 Sn 3.14-3.15

Energy relative to the elements   -0.5907 eV per atom
Crystal system   orthorhombic
DOS at the Fermi energy   4.6 states/eV/cell


6.
The following is a DFT calculation (PBE) of a geometry-optimized Sm2YSn structure.

Unit cell a=4.9557 b=4.8329 c=4.8329 alpha=90.00 beta=90.00 gamma=90.00
Closest atoms and distances in Å follow each position.
Fractional positions:
Sn 0.5000 0.5000 0.5000  4 Y 3.42, 8 Sm 3.46
Sm 0.0000 0.5000 0.0000  4 Sm 3.42, 4 Sn 3.46, 4 Y 3.46
Sm 0.0000 0.0000 0.5000  4 Sm 3.42, 4 Sn 3.46, 4 Y 3.46
Y 0.5000 0.0000 0.0000  4 Sn 3.42, 8 Sm 3.46

Energy relative to the elements   -0.4352 eV per atom
Energy above the lowest structure with this stoichiometry   0.0 meV/atom
Crystal system   tetragonal
DOS at the Fermi energy   4.6 states/eV/cell


7.
The following is a DFT calculation (PBE) of a geometry-optimized SmY4Sn4 structure.

Unit cell a=6.1438 b=9.8317 c=9.8317 alpha=90.00 beta=90.00 gamma=90.00
Closest atoms and distances in Å follow each position.
Fractional positions:
Y 0.8898 0.4001 0.1592  5 Sn 3.10-3.19
Y 0.6102 0.0999 0.3408  5 Sn 3.10-3.19
Y 0.8898 0.5999 0.8408  5 Sn 3.10-3.19
Y 0.1102 0.1592 0.5999  5 Sn 3.10-3.19
Y 0.3898 0.6592 0.0999  5 Sn 3.10-3.19
Y 0.1102 0.8408 0.4001  5 Sn 3.10-3.19
Y 0.3898 0.3408 0.9001  5 Sn 3.10-3.19
Y 0.6102 0.9001 0.6592  5 Sn 3.10-3.19
Sn 0.1024 0.1337 0.2827  1 Sn 2.99, 5 Y 3.10-3.19, 1 Sm 3.14
Sn 0.8976 0.7173 0.1337  1 Sn 2.99, 5 Y 3.10-3.19, 1 Sm 3.14
Sn 0.3976 0.3663 0.2173  1 Sn 2.99, 5 Y 3.10-3.19, 1 Sm 3.14
Sn 0.1024 0.8663 0.7173  1 Sn 2.99, 5 Y 3.10-3.19, 1 Sm 3.14
Sn 0.8976 0.2827 0.8663  1 Sn 2.99, 5 Y 3.10-3.19, 1 Sm 3.14
Sn 0.6024 0.2173 0.6337  1 Sn 2.99, 5 Y 3.10-3.19, 1 Sm 3.14
Sn 0.3976 0.6337 0.7827  1 Sn 2.99, 5 Y 3.10-3.19, 1 Sm 3.14
Sn 0.6024 0.7827 0.3663  1 Sn 2.99, 5 Y 3.10-3.19, 1 Sm 3.14
Sm 0.5000 0.5000 0.5000  4 Sn 3.14
Sm 0.0000 0.0000 0.0000  4 Sn 3.14

Energy relative to the elements   -0.4649 eV per atom
Crystal system   tetragonal
DOS at the Fermi energy   18.2 states/eV/cell


8.
The following is a DFT calculation (PBE) of a geometry-optimized SmY2Sn structure.

Unit cell a=4.7146 b=4.6470 c=11.5500 alpha=101.55 beta=90.00 gamma=90.00
Closest atoms and distances in Å follow each position.
Fractional positions:
Sn 0.7500 0.8370 0.6709  5 Sm 3.21-3.38, 4 Y 3.26-3.31
Sn 0.2500 0.1630 0.3291  5 Sm 3.21-3.38, 4 Y 3.26-3.31
Y 0.2500 0.9350 0.8698  2 Sn 3.26, 4 Y 3.31
Y 0.7500 0.4397 0.8793  2 Sn 3.31, 8 Y 3.31-3.67
Y 0.2500 0.5603 0.1207  2 Sn 3.31, 8 Y 3.31-3.67
Y 0.7500 0.0650 0.1302  2 Sn 3.26, 4 Y 3.31
Sm 0.2500 0.3073 0.6125  5 Sn 3.21-3.38
Sm 0.7500 0.6927 0.3875  5 Sn 3.21-3.38

Energy relative to the elements   -0.4188 eV per atom
Energy above the lowest structure with this stoichiometry   6.0 meV/atom
Crystal system   monoclinic
DOS at the Fermi energy   10.4 states/eV/cell


9.
The following is a DFT calculation (PBE) of a geometry-optimized Sm12Y3Sn5 structure.

Unit cell a=16.0978 b=16.0978 c=16.0978 alpha=109.47 beta=109.47 gamma=109.47
Closest atoms and distances in Å follow each position.
Fractional positions:
Sm 0.9520 0.3809 0.2804  2 Sn 3.01-3.07, 1 Y 3.32
Sm 0.0711 0.1716 0.4520  2 Sn 3.01-3.07, 1 Y 3.32
Sm 0.9289 0.1005 0.8809  2 Sn 3.01-3.07, 1 Y 3.32
Sm 0.3809 0.4289 0.1005  2 Sn 3.01-3.07, 1 Y 3.32
Sm 0.8809 0.6005 0.9289  2 Sn 3.01-3.07, 1 Y 3.32
Sm 0.6716 0.2196 0.6005  2 Sn 3.01-3.07, 1 Y 3.32
Sm 0.5711 0.9520 0.6716  2 Sn 3.01-3.07, 1 Y 3.32
Sm 0.6191 0.0480 0.2196  2 Sn 3.01-3.07, 1 Y 3.32
Sm 0.5480 0.3284 0.9289  2 Sn 3.01-3.07, 1 Y 3.32
Sm 0.4520 0.7804 0.8809  2 Sn 3.01-3.07, 1 Y 3.32
Sm 0.4520 0.6716 0.0711  2 Sn 3.01-3.07, 1 Y 3.32
Sm 0.0480 0.4289 0.8284  2 Sn 3.01-3.07, 1 Y 3.32
Sm 0.2196 0.6716 0.1005  2 Sn 3.01-3.07, 1 Y 3.32
Sm 0.8995 0.8284 0.7804  2 Sn 3.01-3.07, 1 Y 3.32
Sm 0.2196 0.5480 0.6191  2 Sn 3.01-3.07, 1 Y 3.32
Sm 0.2804 0.8809 0.9520  2 Sn 3.01-3.07, 1 Y 3.32
Sm 0.6716 0.4520 0.5711  2 Sn 3.01-3.07, 1 Y 3.32
Sm 0.3995 0.1191 0.5711  2 Sn 3.01-3.07, 1 Y 3.32
Sm 0.6005 0.8809 0.4289  2 Sn 3.01-3.07, 1 Y 3.32
Sm 0.6191 0.5711 0.8995  2 Sn 3.01-3.07, 1 Y 3.32
Sm 0.7196 0.6005 0.1716  2 Sn 3.01-3.07, 1 Y 3.32
Sm 0.0711 0.8995 0.1191  2 Sn 3.01-3.07, 1 Y 3.32
Sm 0.5711 0.6191 0.3995  2 Sn 3.01-3.07, 1 Y 3.32
Sm 0.1191 0.3995 0.0711  2 Sn 3.01-3.07, 1 Y 3.32
Sm 0.1005 0.9289 0.3809  2 Sn 3.01-3.07, 1 Y 3.32
Sm 0.5480 0.2196 0.1191  2 Sn 3.01-3.07, 1 Y 3.32
Sm 0.6005 0.7196 0.6716  2 Sn 3.01-3.07, 1 Y 3.32
Sm 0.8284 0.8995 0.2804  2 Sn 3.01-3.07, 1 Y 3.32
Sm 0.8284 0.9289 0.0480  2 Sn 3.01-3.07, 1 Y 3.32
Sm 0.3995 0.2804 0.3284  2 Sn 3.01-3.07, 1 Y 3.32
Sm 0.1191 0.7196 0.5480  2 Sn 3.01-3.07, 1 Y 3.32
Sm 0.3809 0.9520 0.7804  2 Sn 3.01-3.07, 1 Y 3.32
Sm 0.4289 0.3809 0.6005  2 Sn 3.01-3.07, 1 Y 3.32
Sm 0.4289 0.0480 0.3284  2 Sn 3.01-3.07, 1 Y 3.32
Sm 0.3284 0.7804 0.3995  2 Sn 3.01-3.07, 1 Y 3.32
Sm 0.7804 0.3284 0.8995  2 Sn 3.01-3.07, 1 Y 3.32
Sm 0.3284 0.5480 0.4289  2 Sn 3.01-3.07, 1 Y 3.32
Sm 0.8809 0.2804 0.4520  2 Sn 3.01-3.07, 1 Y 3.32
Sm 0.2804 0.3995 0.8284  2 Sn 3.01-3.07, 1 Y 3.32
Sm 0.9520 0.5711 0.1716  2 Sn 3.01-3.07, 1 Y 3.32
Sm 0.1005 0.1716 0.2196  2 Sn 3.01-3.07, 1 Y 3.32
Sm 0.9289 0.8284 0.5480  2 Sn 3.01-3.07, 1 Y 3.32
Sm 0.7196 0.1191 0.0480  2 Sn 3.01-3.07, 1 Y 3.32
Sm 0.7804 0.4520 0.3809  2 Sn 3.01-3.07, 1 Y 3.32
Sm 0.1716 0.1005 0.7196  2 Sn 3.01-3.07, 1 Y 3.32
Sm 0.8995 0.0711 0.6191  2 Sn 3.01-3.07, 1 Y 3.32
Sm 0.0480 0.6191 0.7196  2 Sn 3.01-3.07, 1 Y 3.32
Sm 0.1716 0.0711 0.9520  2 Sn 3.01-3.07, 1 Y 3.32
Sn 0.5000 0.5000 0.0000  6 Sm 3.07
Sn 0.5000 0.0000 0.5000  6 Sm 3.07
Sn 0.6250 0.7500 0.8750  4 Sm 3.01
Sn 0.1250 0.7500 0.3750  4 Sm 3.01
Sn 0.5000 0.0000 0.0000  6 Sm 3.07
Sn 0.2500 0.8750 0.1250  4 Sm 3.01
Sn 0.5000 0.5000 0.5000  6 Sm 3.07
Sn 0.0000 0.0000 0.5000  6 Sm 3.07
Sn 0.7500 0.6250 0.3750  4 Sm 3.01
Sn 0.3750 0.1250 0.7500  4 Sm 3.01
Sn 0.8750 0.2500 0.6250  4 Sm 3.01
Sn 0.0000 0.5000 0.0000  6 Sm 3.07
Sn 0.3750 0.2500 0.1250  4 Sm 3.01
Sn 0.7500 0.1250 0.8750  4 Sm 3.01
Sn 0.6250 0.8750 0.2500  4 Sm 3.01
Sn 0.1250 0.3750 0.2500  4 Sm 3.01
Sn 0.8750 0.6250 0.7500  4 Sm 3.01
Sn 0.0000 0.0000 0.0000  6 Sm 3.07
Sn 0.0000 0.5000 0.5000  6 Sm 3.07
Sn 0.2500 0.3750 0.6250  4 Sm 3.01
Y 0.1250 0.8750 0.7500  8 Sm 3.32-3.69
Y 0.1250 0.2500 0.8750  8 Sm 3.32-3.69
Y 0.6250 0.2500 0.3750  8 Sm 3.32-3.69
Y 0.7500 0.8750 0.6250  8 Sm 3.32-3.69
Y 0.8750 0.7500 0.1250  8 Sm 3.32-3.69
Y 0.6250 0.3750 0.7500  8 Sm 3.32-3.69
Y 0.8750 0.1250 0.2500  8 Sm 3.32-3.69
Y 0.2500 0.1250 0.3750  8 Sm 3.32-3.69
Y 0.2500 0.6250 0.8750  8 Sm 3.32-3.69
Y 0.3750 0.7500 0.6250  8 Sm 3.32-3.69
Y 0.7500 0.3750 0.1250  8 Sm 3.32-3.69
Y 0.3750 0.6250 0.2500  8 Sm 3.32-3.69

Energy relative to the elements   0.3126 eV per atom
Crystal system   cubic
DOS at the Fermi energy   112.3 states/eV/cell


10.
The following is a DFT calculation (PBE) of a geometry-optimized SmY2Sn structure.

Unit cell a=3.5402 b=3.5402 c=12.1657 alpha=81.63 beta=81.63 gamma=60.00
Closest atoms and distances in Å follow each position.
Fractional positions:
Y 0.0864 0.0864 0.7409  1 Sn 3.11
Y 0.9136 0.9136 0.2591  1 Sn 3.11
Sm 0.5000 0.5000 0.5000  6 Y 3.54, 6 Sm 3.54
Sn 0.0000 0.0000 0.0000  2 Y 3.11

Energy relative to the elements   0.0478 eV per atom
Energy above the lowest structure with this stoichiometry   472.6 meV/atom
Crystal system   trigonal
DOS at the Fermi energy   4.3 states/eV/cell


11.
The following is a DFT calculation (PBE) of a geometry-optimized SmY5Sn4 structure.

Unit cell a=4.4526 b=8.0427 c=9.2066 alpha=101.28 beta=103.99 gamma=90.00
Closest atoms and distances in Å follow each position.
Fractional positions:
Y 0.8598 0.2725 0.7196  4 Sn 3.11-3.33
Y 0.7964 0.6955 0.5928  3 Sn 2.99-3.21
Y 0.5000 0.5000 0.0000  4 Sn 3.00
Y 0.2036 0.3045 0.4072  3 Sn 2.99-3.21
Y 0.1402 0.7275 0.2804  4 Sn 3.11-3.33
Sn 0.0345 0.2773 0.0689  4 Y 2.99-3.11, 2 Sm 3.12
Sn 0.6891 0.0124 0.3782  2 Sn 3.15, 6 Y 3.19-3.48, 1 Sm 3.36
Sn 0.3109 0.9876 0.6218  2 Sn 3.15, 6 Y 3.19-3.48, 1 Sm 3.36
Sn 0.9655 0.7227 0.9311  4 Y 2.99-3.11, 2 Sm 3.12
Sm 0.5000 0.0000 0.0000  6 Sn 3.12-3.36

Energy relative to the elements   -0.4455 eV per atom
Crystal system   monoclinic
DOS at the Fermi energy   10.3 states/eV/cell